Record 1
YOsRh: relaxed, PBE-GGA.

ΔE to the lowest computed polymorph in eV/f.u.: 0.69
Formation energy in meV/atom: -267
DOS(E_F) in states/eV/cell: 6.8
Crystal system: monoclinic
Space-group type: Cm (8)
Size of the total moment in μB/atom: 0.00

a = 5.552 Å, b = 5.552 Å, c = 5.497 Å
α = 93.79°, β = 93.79°, γ = 43.67°
Atoms (fractional coordinates):
Y (0.000, 0.000, 0.000)
Y (0.598, 0.598, 0.519)
Os (0.319, 0.319, 0.259)
Os (0.873, 0.873, 0.481)
Rh (0.301, 0.301, 0.779)
Rh (0.697, 0.697, 0.034)

Record 2
YOs2Rh: relaxed, PBE-GGA.

ΔE to the lowest computed polymorph in eV/f.u.: 0.33
Formation energy in meV/atom: 129
DOS(E_F) in states/eV/cell: 4.8
Crystal system: tetragonal
Space-group type: P4/mmm (123)
Size of the total moment in μB/atom: 0.00

a = 3.898 Å, b = 3.898 Å, c = 4.422 Å
α = 90.00°, β = 90.00°, γ = 90.00°
Atoms (fractional coordinates):
Y (0.000, 0.000, 0.000)
Os (0.000, 0.500, 0.500)
Os (0.500, 0.000, 0.500)
Rh (0.500, 0.500, 0.000)

Record 3
YOs2Rh: relaxed, PBE-GGA.

ΔE to the lowest computed polymorph in eV/f.u.: 0.76
Formation energy in meV/atom: 237
DOS(E_F) in states/eV/cell: 4.3
Crystal system: orthorhombic
Space-group type: Pmmm (47)
Size of the total moment in μB/atom: 0.00

a = 2.795 Å, b = 4.021 Å, c = 6.152 Å
α = 90.00°, β = 90.00°, γ = 90.00°
Atoms (fractional coordinates):
Y (0.000, 0.000, 0.000)
Os (0.500, 0.500, 0.298)
Os (0.500, 0.500, 0.702)
Rh (0.000, 0.000, 0.500)

no.,energy (eV/cell)
1,-51.7
2,-35.8
3,-35.3